Material: BaSiP2
Method: DFT, GGA-PBE
State: optimized geometry

Output
DFT total energy	-4.570	eV/atom
D(E_F)	3.47	states/eV per cell
crystal system	orthorhombic

Cell lengths 3.3533, 5.8478, 9.3389 Å; angles 90.00, 90.00, 90.00 degrees
Space group Imm2 (No. 44)
One atom of each set of equivalent atoms:
Ba (0.0000, 0.0000, 0.0000) (multiplicity 2)
Si (0.0000, 0.5000, 0.1896) (multiplicity 2)
P (0.0000, 0.0000, 0.5037) (multiplicity 2)
P (0.0000, 0.5000, 0.8215) (multiplicity 2)